1.
{"formula": "BaTb2Ho", "functional": "PBE-GGA", "state": "relaxed", "lattice": [[3.6069, 0.0000, 0.0000], [-1.8034, 3.1236, 0.0000], [0.0000, 0.0000, 38.5623]], "species": ["Ba", "Ba", "Ba", "Tb", "Tb", "Tb", "Tb", "Tb", "Tb", "Ho", "Ho", "Ho"], "fractional_positions": [[0.0000, 0.0000, 0.0000], [0.3333, 0.6667, 0.6667], [0.6667, 0.3333, 0.3333], [0.0000, 0.0000, 0.0939], [0.0000, 0.0000, 0.9061], [0.3333, 0.6667, 0.5727], [0.3333, 0.6667, 0.7606], [0.6667, 0.3333, 0.2394], [0.6667, 0.3333, 0.4273], [0.0000, 0.0000, 0.5000], [0.3333, 0.6667, 0.1667], [0.6667, 0.3333, 0.8333]], "de_polymorph_mev_per_atom": 69, "ef_ev_per_atom": 0.22}

2.
{"formula": "Nd2DyPuN4", "functional": "PBE-GGA", "state": "relaxed", "lattice": [[6.1255, 0.0000, 0.0000], [0.0000, 3.5583, 0.0000], [-2.0263, 0.0000, 5.8171]], "species": ["Nd", "Nd", "Dy", "Pu", "N", "N", "N", "N"], "fractional_positions": [[0.0000, 0.0000, 0.0000], [0.5000, 0.5000, 0.0000], [0.0000, 0.5000, 0.5000], [0.5000, 0.0000, 0.5000], [0.2513, 0.0000, 0.7314], [0.2634, 0.5000, 0.2730], [0.7366, 0.5000, 0.7270], [0.7487, 0.0000, 0.2686]], "raw_formation_energy_ev_per_atom": -1.414}

3.
{"formula": "YInSnP2", "functional": "PBE-GGA", "state": "relaxed", "lattice": [[5.2851, 0.0000, 0.0000], [0.0000, 5.2851, 0.0000], [0.0000, 0.0000, 5.8927]], "species": ["Y", "In", "Sn", "P", "P"], "fractional_positions": [[0.0000, 0.0000, 0.0000], [0.5000, 0.5000, 0.5000], [0.0000, 0.0000, 0.5000], [0.0000, 0.5000, 0.0000], [0.5000, 0.0000, 0.0000]], "ef_ev_per_atom": 0.39}

Number 1: E_tot -44.64 eV per cell, N(E_F) 5.037 states/eV/f.u.. Number 2: E_tot -73.08 eV per cell, N(E_F) 7.589 states/eV/f.u.. Number 3: E_tot -22.07 eV per cell, N(E_F) 3.348 states/eV/f.u..